Here is an optimized crystal structure of KCd2CuIr from Alexandria via LeMat-Bulk. Energies are from PBE-GGA.

- ΔH_f (0 K) (eV/atom) = 1.911
- space group = P4/mmm, No. 123
- E (eV per atom) = -1.266
- total moment (Bohr magnetons per cell) = 0.0

a b c (Å): 5.741 5.741 4.909
angles (deg): 90.00 90.00 90.00
Fractional coordinates of all 5 atoms:
K 0.000 0.000 0.000
Cd 0.000 0.500 0.000
Cd 0.500 0.000 0.000
Cu 0.500 0.500 0.500
Ir 0.000 0.000 0.500